NaMgGaSn: optimized geometry, PBE-GGA.

a b c (Å): 5.074 5.074 5.074
angles (deg): 60.00 60.00 60.00
Sites, in units of the cell vectors:
Na 0.000 0.000 0.000
Mg 0.500 0.500 0.500
Ga 0.250 0.250 0.250
Sn 0.750 0.750 0.750

Fermi-level density of states = 0.835 states/eV/f.u.
Magnetization = 0.0000 μB/atom
Volume = 92.36 Å³/cell
Calculated total energy = -10.43 eV/cell
Formation energy from the elements = -0.1206 eV/atom